(1)
VASP calculation (PBE) on a relaxed structure of Li4Bi5Pd.

Unit cell a=3.403 b=3.403 c=20.214 alpha=90.00 beta=90.00 gamma=90.00
Fractional positions:
Bi 0.500 0.500 0.091
Bi 0.500 0.500 0.909
Bi 0.500 0.500 0.295
Bi 0.500 0.500 0.705
Bi 0.500 0.500 0.500
Li 0.000 0.000 0.198
Li 0.000 0.000 0.602
Li 0.000 0.000 0.802
Li 0.000 0.000 0.398
Pd 0.000 0.000 0.000

The total energy is -3.58 eV/atom. As for the calculated density: 8.4 g/cm³. As for the energy of formation from the pure elements: -0.358 eV/atom.

=====

(2)
VASP calculation (PBE) on a relaxed structure of LaP2S2.

Unit cell a=4.639 b=4.639 c=4.713 alpha=90.00 beta=90.00 gamma=90.00
Fractional positions:
S 0.000 0.000 0.000
S 0.000 0.000 0.500
La 0.500 0.500 0.500
P 0.500 0.000 0.000
P 0.000 0.500 0.000

As for the energy above the most stable polymorph in this dataset: 379 meV/atom. The raw formation energy comes out at -1.27 eV/f.u. The total energy is -5.05 eV/atom. As for the calculated density: 4.3 g/cm³.

=====

(3)
VASP calculation (PBE) on a relaxed structure of BaSn6Hg2.

Unit cell a=4.920 b=4.920 c=11.025 alpha=90.00 beta=90.00 gamma=90.00
Fractional positions:
Sn 0.500 0.500 0.500
Sn 0.500 0.000 0.703
Sn 0.500 0.000 0.297
Sn 0.000 0.500 0.703
Sn 0.000 0.000 0.500
Sn 0.000 0.500 0.297
Hg 0.500 0.500 0.130
Hg 0.500 0.500 0.870
Ba 0.000 0.000 0.000

As for the energy above the most stable polymorph in this dataset: 0 meV/atom. The total energy is -3.11 eV/atom. As for the calculated density: 7.8 g/cm³. As for the energy of formation from the pure elements: -0.164 eV/atom.

=====

(4)
VASP calculation (PBE) on a relaxed structure of SnIrCl3.

Unit cell a=4.854 b=4.854 c=4.854 alpha=90.00 beta=90.00 gamma=90.00
Fractional positions:
Ir 0.000 0.000 0.000
Sn 0.500 0.500 0.500
Cl 0.500 0.000 0.000
Cl 0.000 0.500 0.000
Cl 0.000 0.000 0.500

As for the energy above the most stable polymorph in this dataset: 0 meV/atom. The raw formation energy comes out at 0.08 eV/f.u. The total energy is -3.66 eV/atom. As for the calculated density: 6.1 g/cm³.

=====

(5)
VASP calculation (PBE) on a relaxed structure of Pr6Ni2Ag.

Unit cell a=8.708 b=8.708 c=8.708 alpha=106.52 beta=108.47 gamma=113.51
Fractional positions:
Ag 0.000 0.500 0.500
Ag 0.000 0.000 0.000
Pr 0.695 0.020 0.325
Pr 0.472 0.293 0.179
Pr 0.114 0.293 0.821
Pr 0.198 0.225 0.424
Pr 0.695 0.369 0.675
Pr 0.528 0.707 0.821
Pr 0.802 0.225 0.027
Pr 0.305 0.631 0.325
Pr 0.886 0.707 0.179
Pr 0.802 0.775 0.576
Pr 0.305 0.980 0.675
Pr 0.198 0.775 0.973
Ni 0.500 0.378 0.878
Ni 0.641 0.000 0.641
Ni 0.359 0.000 0.359
Ni 0.500 0.622 0.122

The total energy is -4.98 eV/atom. As for the calculated density: 7.0 g/cm³. As for the energy of formation from the pure elements: -0.188 eV/atom.

=====

(6)
VASP calculation (PBE) on a relaxed structure of Pr6Sm2Dy5.

Unit cell a=3.661 b=11.857 c=20.734 alpha=90.00 beta=90.00 gamma=90.00
Fractional positions:
Dy 0.500 0.699 0.556
Dy 0.500 0.907 0.775
Dy 0.500 0.500 0.000
Dy 0.500 0.199 0.944
Dy 0.500 0.801 0.056
Dy 0.500 0.407 0.725
Dy 0.500 0.593 0.275
Dy 0.500 0.000 0.500
Dy 0.500 0.093 0.225
Dy 0.500 0.301 0.444
Pr 0.500 0.324 0.131
Pr 0.000 0.919 0.634
Pr 0.000 0.559 0.421
Pr 0.000 0.941 0.921
Pr 0.000 0.059 0.079
Pr 0.000 0.581 0.134
Pr 0.500 0.824 0.369
Pr 0.500 0.176 0.631
Pr 0.500 0.676 0.869
Pr 0.000 0.419 0.866
Pr 0.000 0.081 0.366
Pr 0.000 0.441 0.579
Sm 0.000 0.167 0.787
Sm 0.000 0.833 0.213
Sm 0.000 0.667 0.713
Sm 0.000 0.333 0.287

The total energy is -4.60 eV/atom. As for the calculated density: 7.2 g/cm³. As for the energy of formation from the pure elements: 0.101 eV/atom.

=====

(7)
VASP calculation (PBE) on a relaxed structure of Pm2NbO5.

Unit cell a=3.860 b=10.895 c=11.759 alpha=90.00 beta=90.00 gamma=90.00
Each line ends with the local moment (μB).
Fractional positions:
O 0.250 0.264 0.610  0.01
O 0.750 0.770 0.050  0.01
O 0.750 0.236 0.110  0.01
O 0.250 0.252 0.264  0.01
O 0.750 0.503 0.103  0.00
O 0.750 0.003 0.397  0.00
O 0.750 0.736 0.390  0.01
O 0.250 0.752 0.236  0.01
O 0.750 0.270 0.450  0.01
O 0.250 0.997 0.603  0.00
O 0.250 0.497 0.897  0.00
O 0.250 0.730 0.550  0.01
O 0.250 0.230 0.950  0.01
O 0.750 0.502 0.661  0.00
O 0.250 0.764 0.890  0.01
O 0.750 0.002 0.839  0.00
O 0.250 0.498 0.339  0.00
O 0.750 0.748 0.736  0.01
O 0.250 0.998 0.161  0.00
O 0.750 0.248 0.764  0.01
Pm 0.750 0.867 0.560  0.01
Pm 0.250 0.623 0.730  0.02
Pm 0.250 0.133 0.440  0.01
Pm 0.750 0.367 0.940  0.01
Pm 0.750 0.377 0.270  0.02
Pm 0.250 0.123 0.770  0.02
Pm 0.250 0.633 0.060  0.01
Pm 0.750 0.877 0.230  0.02
Nb 0.250 0.663 0.389  0.80
Nb 0.750 0.837 0.889  0.80
Nb 0.250 0.163 0.111  0.80
Nb 0.750 0.337 0.611  0.80

The raw formation energy comes out at -24.35 eV/f.u. The total energy is -8.59 eV/atom. As for the calculated density: 6.2 g/cm³.

=====

(8)
VASP calculation (PBE) on a relaxed structure of Zr2Rh.

Unit cell a=6.912 b=6.912 c=4.470 alpha=90.00 beta=90.00 gamma=120.00
Fractional positions:
Rh 0.667 0.333 0.000
Rh 0.333 0.667 0.000
Rh 0.000 0.000 0.500
Zr 0.000 0.587 0.500
Zr 0.259 0.000 0.000
Zr 0.741 0.741 0.000
Zr 0.000 0.259 0.000
Zr 0.587 0.000 0.500
Zr 0.413 0.413 0.500

The total energy is -8.60 eV/atom. As for the calculated density: 7.7 g/cm³. As for the energy of formation from the pure elements: -0.453 eV/atom.

=====

| no. | magnetization (μB/cell) |
| --- | --- |
| 1 | 0.00 |
| 2 | 0.00 |
| 3 | 0.00 |
| 4 | 0.00 |
| 5 | 0.00 |
| 6 | 0.00 |
| 7 | 4.00 |
| 8 | 0.00 |